# Te2RuPb

Te2RuPb after structural relaxation (PBE, Alexandria via LeMat-Bulk).

It has space group C2/m (No. 12), with a = 7.2385 Å, b = 4.1805 Å, c = 7.3669 Å, α = 90.00°, β = 109.24° and γ = 90.00°. The inequivalent atoms are Te at (0.2275, 0.0000, 0.1814), Ru at (0.0000, 0.5000, 0.0000) and Pb at (0.0000, 0.0000, 0.5000).

The value obtained for the mass density is 8.9 Mg/m³. As for the calculated total energy: -19.2 eV per formula unit. Its crystal system is monoclinic.